! Na2HgCl PBE optimized geometry; values from VASP
! **Total DFT energy (no corrections)**: -0.07684 Ha/atom
! **Symmetry**: P4/mmm (123)
! **Relative energy among the computed polymorphs**: 17.2 meV/atom
! **Formation energy without anion corrections**: -3.6 eV per formula unit
! **ρ**: 4.80 g/cm³
! **DOS at the Fermi energy**: 1.06 states/eV per cell
&SYSTEM
  ibrav = 0, nat = 4, ntyp = 3
/
ATOMIC_SPECIES
Na 22.99 Na.upf
Hg 200.59 Hg.upf
Cl 35.45 Cl.upf
CELL_PARAMETERS angstrom
3.4551 0.0000 0.0000
0.0000 3.4551 0.0000
0.0000 0.0000 8.1685
ATOMIC_POSITIONS crystal
Na 0.0000 0.0000 0.2090
Na 0.0000 0.0000 0.7910
Hg 0.5000 0.5000 0.5000
Cl 0.5000 0.5000 0.0000